# 1
Here is Rb2CeBrCl6 after structural relaxation from Alexandria. Energies are from PBE.

Summary:
Magnetic moment   0.95 Bohr magnetons per cell
Symmetry   P1, No. 1
V   410.42 Å³/cell

Cell lengths 7.608, 8.047, 8.079 Å; angles 63.35, 68.24, 79.10 degrees
Atoms (fractional coordinates):
Rb: 0.000 0.000 0.000
Rb: 0.384 0.650 0.592
Ce: 0.948 0.353 0.369
Br: 0.530 0.884 0.795
Cl: 0.136 0.349 0.022
Cl: 0.144 0.059 0.534
Cl: 0.180 0.598 0.301
Cl: 0.700 0.122 0.410
Cl: 0.734 0.634 0.211
Cl: 0.754 0.349 0.714

---

# 2
Here is Rb2CeBr4Cl2 after structural relaxation from Alexandria. Energies are from PBE.

Summary:
Magnetic moment   0.00 Bohr magnetons per cell
Symmetry   C2/m, No. 12
V   334.31 Å³/cell

Cell lengths 7.653, 7.653, 6.558 Å; angles 97.21, 97.21, 61.61 degrees
Atoms (fractional coordinates):
Rb: 0.166 0.166 0.273
Rb: 0.834 0.834 0.727
Ce: 0.500 0.500 0.000
Br: 0.149 0.661 0.203
Br: 0.339 0.851 0.797
Br: 0.661 0.149 0.203
Br: 0.851 0.339 0.797
Cl: 0.342 0.342 0.706
Cl: 0.658 0.658 0.294

---

# 3
Here is Rb2CeBr2Cl4 after structural relaxation from Alexandria. Energies are from PBE.

Summary:
Magnetic moment   0.00 Bohr magnetons per cell
Symmetry   I4/mmm, No. 139
V   320.51 Å³/cell

Cell lengths 7.688, 7.688, 7.688 Å; angles 120.17, 120.17, 89.71 degrees
Atoms (fractional coordinates):
Rb: 0.250 0.750 0.500
Rb: 0.750 0.250 0.500
Ce: 0.000 0.000 0.000
Br: 0.257 0.257 0.000
Br: 0.743 0.743 0.000
Cl: 0.242 0.242 0.484
Cl: 0.242 0.758 0.000
Cl: 0.758 0.242 0.000
Cl: 0.758 0.758 0.516

---

# 4
Here is CeTh2Br4Cl2 after structural relaxation from Alexandria. Energies are from PBE.

Summary:
Magnetic moment   2.02 Bohr magnetons per cell
Symmetry   P3m1, No. 156
V   306.08 Å³/cell
DOS at the Fermi energy   0.85 states/eV per atom

Cell lengths 3.864, 3.864, 23.667 Å; angles 90.00, 90.00, 120.00 degrees
Atoms (fractional coordinates):
Ce: 0.000 0.000 0.000
Th: 0.000 0.000 0.658
Th: 0.667 0.333 0.321
Br: 0.000 0.000 0.233
Br: 0.000 0.000 0.409
Br: 0.667 0.333 0.570
Br: 0.667 0.333 0.745
Cl: 0.667 0.333 0.076
Cl: 0.667 0.333 0.924

---

| no. | energy (eV/cell) |
| --- | --- |
| 1 | -37.75 |
| 2 | -34.48 |
| 3 | -35.74 |
| 4 | -45.46 |